Computed, not measured: a geometry-optimized Li2Be2SiO6 structure at the PBE level of DFT.

- symmetry = P-31m (162)
- E (eV/atom) = -6.184
- spin magnetization (μB/atom) = 0.18
- V (Å³ per cell) = 88
- raw formation energy (meV per atom) = -1961

Unit cell a=4.5973 b=4.5973 c=4.7819 alpha=90.00 beta=90.00 gamma=120.00
Element x y z (fractional)
Li 0.3333 0.6667 0.5005
Li 0.6667 0.3333 0.4995
Be 0.3333 0.6667 0.0008
Be 0.6667 0.3333 0.9992
Si 0.0000 0.0000 0.0000
O 0.3280 0.3278 0.7991
O 0.9998 0.6720 0.7991
O 0.6722 0.0001 0.7991
O 0.6720 0.6722 0.2009
O 0.0001 0.3280 0.2009
O 0.3278 0.9998 0.2009